The following is a DFT calculation (PBE) of a relaxed NdEuAgGe crystal.

```
4
Lattice="0.000 3.733 3.733 3.733 0.000 3.733 3.733 3.733 0.000" Properties=species:S:1:pos:R:3 pbc="T T T"
Nd 0.000 0.000 0.000
Eu 3.733 3.733 3.733
Ag 1.867 1.867 1.867
Ge 5.600 5.600 5.600
```

Computed properties:
Total magnetic moment = 7.23 μB/f.u.
Energy of formation from the pure elements = -0.514 eV/atom



The following is a DFT calculation (PBE) of a relaxed EuAgGePb crystal.

```
4
Lattice="0.000 3.692 3.692 3.692 0.000 3.692 3.692 3.692 0.000" Properties=species:S:1:pos:R:3 pbc="T T T"
Eu 0.000 0.000 0.000
Ag 1.846 1.846 1.846
Ge 5.538 5.538 5.538
Pb 3.692 3.692 3.692
```

Computed properties:
Total magnetic moment = 7.12 μB/f.u.
Energy of formation from the pure elements = -0.200 eV/atom



The following is a DFT calculation (PBE) of a relaxed PrEuAgGe crystal.

```
4
Lattice="0.000 3.749 3.749 3.749 0.000 3.749 3.749 3.749 0.000" Properties=species:S:1:pos:R:3 pbc="T T T"
Pr 0.000 0.000 0.000
Eu 3.749 3.749 3.749
Ag 5.623 5.623 5.623
Ge 1.874 1.874 1.874
```

Computed properties:
Total magnetic moment = 7.23 μB/f.u.
Energy of formation from the pure elements = -0.512 eV/atom



The following is a DFT calculation (PBE) of a relaxed EuPuAgGe crystal.

```
4
Lattice="0.000 3.691 3.691 3.691 0.000 3.691 3.691 3.691 0.000" Properties=species:S:1:pos:R:3 pbc="T T T"
Eu 0.000 0.000 0.000
Pu 3.691 3.691 3.691
Ag 1.845 1.845 1.845
Ge 5.536 5.536 5.536
```

Computed properties:
Total magnetic moment = 12.31 μB/f.u.
Energy of formation from the pure elements = -0.283 eV/atom



The following is a DFT calculation (PBE) of a relaxed SmEuAgGe crystal.

```
4
Lattice="0.000 3.709 3.709 3.709 0.000 3.709 3.709 3.709 0.000" Properties=species:S:1:pos:R:3 pbc="T T T"
Sm 0.000 0.000 0.000
Eu 3.709 3.709 3.709
Ag 5.563 5.563 5.563
Ge 1.854 1.854 1.854
```

Computed properties:
Total magnetic moment = 7.23 μB/f.u.
Energy of formation from the pure elements = -0.516 eV/atom



The following is a DFT calculation (PBE) of a relaxed TbEuAgGe crystal.

```
4
Lattice="0.000 3.676 3.676 3.676 0.000 3.676 3.676 3.676 0.000" Properties=species:S:1:pos:R:3 pbc="T T T"
Tb 0.000 0.000 0.000
Eu 3.676 3.676 3.676
Ag 1.838 1.838 1.838
Ge 5.513 5.513 5.513
```

Computed properties:
Total magnetic moment = 7.23 μB/f.u.
Energy of formation from the pure elements = -0.516 eV/atom



The following is a DFT calculation (PBE) of a relaxed EuThAgGe crystal.

```
4
Lattice="0.000 3.721 3.721 3.721 0.000 3.721 3.721 3.721 0.000" Properties=species:S:1:pos:R:3 pbc="T T T"
Eu 0.000 0.000 0.000
Th 3.721 3.721 3.721
Ag 5.582 5.582 5.582
Ge 1.861 1.861 1.861
```

Computed properties:
Total magnetic moment = 7.93 μB/f.u.
Energy of formation from the pure elements = -0.355 eV/atom



The following is a DFT calculation (PBE) of a relaxed EuTmAgGe crystal.

```
4
Lattice="0.000 3.646 3.646 3.646 0.000 3.646 3.646 3.646 0.000" Properties=species:S:1:pos:R:3 pbc="T T T"
Eu 0.000 0.000 0.000
Tm 3.646 3.646 3.646
Ag 1.823 1.823 1.823
Ge 5.469 5.469 5.469
```

Computed properties:
Total magnetic moment = 7.19 μB/f.u.
Energy of formation from the pure elements = -0.499 eV/atom



The following is a DFT calculation (PBE) of a relaxed EuZnAgGe crystal.

```
4
Lattice="0.000 3.455 3.455 3.455 0.000 3.455 3.455 3.455 0.000" Properties=species:S:1:pos:R:3 pbc="T T T"
Eu 0.000 0.000 0.000
Zn 5.182 5.182 5.182
Ag 3.455 3.455 3.455
Ge 1.727 1.727 1.727
```

Computed properties:
Total magnetic moment = 6.80 μB/f.u.
Energy of formation from the pure elements = -0.244 eV/atom



The following is a DFT calculation (PBE) of a relaxed EuAgH2 crystal.

```
4
Lattice="1.989 1.148 4.949 -1.989 1.148 4.949 0.000 -2.296 4.949" Properties=species:S:1:pos:R:3 pbc="T T T"
Eu 0.000 0.000 0.000
Ag 0.000 0.000 7.424
H 0.000 0.000 5.658
H 0.000 0.000 9.190
```

Computed properties:
Total magnetic moment = 7.46 μB/f.u.
E = -5.19 eV per atom



The following is a DFT calculation (PBE) of a relaxed Eu3Ag5H12 crystal.

```
80
Lattice="-6.289 6.289 6.289 6.289 -6.289 6.289 6.289 6.289 -6.289" Properties=species:S:1:pos:R:3 pbc="T T T"
Eu 3.145 1.572 0.000
Eu 6.289 3.145 -1.572
Eu 1.572 0.000 3.145
Eu 7.862 0.000 3.145
Eu 0.000 3.145 1.572
Eu 3.145 -1.572 6.289
Eu 3.145 7.862 0.000
Eu 6.289 3.145 4.717
Eu -1.572 6.289 3.145
Eu 4.717 6.289 3.145
Eu 0.000 3.145 7.862
Eu 3.145 4.717 6.289
Ag 0.000 0.000 0.000
Ag 3.145 3.145 -3.145
Ag 3.145 -3.145 3.145
Ag 6.289 0.000 0.000
Ag 9.434 1.572 0.000
Ag 6.289 -3.145 4.717
Ag 4.717 6.289 -3.145
Ag 4.717 0.000 3.145
Ag 3.145 4.717 0.000
Ag 6.289 3.145 1.572
Ag -3.145 3.145 3.145
Ag 0.000 6.289 0.000
Ag 0.000 0.000 6.289
Ag 3.145 3.145 3.145
Ag 0.000 3.145 4.717
Ag 3.145 1.572 6.289
Ag 1.572 6.289 3.145
Ag 1.572 0.000 9.434
Ag 0.000 9.434 1.572
Ag -3.145 4.717 6.289
H 1.916 -0.326 0.715
H 7.518 3.860 -3.471
H 8.205 0.326 0.715
H 7.518 -2.429 3.471
H 5.963 -0.715 1.916
H 9.760 -1.229 2.429
H 0.715 1.916 -0.326
H 8.719 2.818 -1.229
H 3.860 3.471 -1.229
H 5.574 1.916 0.326
H -0.326 0.715 1.916
H 3.471 -1.229 3.860
H 5.963 5.574 -1.916
H 3.471 1.229 2.429
H 3.860 -3.471 7.518
H 5.574 -1.916 5.963
H 2.429 3.471 1.229
H 7.005 4.373 0.326
H 3.471 7.518 -2.429
H 5.963 0.715 4.373
H 1.916 5.963 -0.715
H 7.518 2.429 2.818
H 1.229 2.429 3.471
H 1.916 0.326 5.574
H 4.373 5.963 0.715
H 5.061 3.860 2.818
H -1.229 3.860 3.471
H 4.373 0.326 7.005
H 0.326 5.574 1.916
H 2.818 -1.229 8.719
H -0.715 1.916 5.963
H 3.860 2.818 5.061
H 0.715 8.205 0.326
H 2.429 9.760 -1.229
H 2.818 5.061 3.860
H 0.326 0.715 8.205
H 2.818 7.518 2.429
H 6.616 5.574 4.373
H 0.715 4.373 5.963
H 2.429 2.818 7.518
H -2.429 3.471 7.518
H 5.574 4.373 6.616
H -3.471 7.518 3.860
H 0.326 7.005 4.373
H -1.229 8.719 2.818
H -1.916 5.963 5.574
H -1.229 2.429 9.760
H 4.373 6.616 5.574
```

Computed properties:
Total magnetic moment = 20.20 μB/f.u.
E = -4.38 eV per atom



The following is a DFT calculation (PBE) of a relaxed EuHfAg2 crystal.

```
4
Lattice="3.510 0.000 0.000 0.000 3.510 0.000 0.000 0.000 7.539" Properties=species:S:1:pos:R:3 pbc="T T T"
Eu 0.000 0.000 0.000
Hf 0.000 0.000 3.770
Ag 1.755 1.755 2.210
Ag 1.755 1.755 5.329
```

Computed properties:
Total magnetic moment = 7.48 μB/f.u.
Energy of formation from the pure elements = -0.043 eV/atom



The following is a DFT calculation (PBE) of a relaxed Eu2HfAg crystal.

```
4
Lattice="1.639 0.946 11.667 -1.639 0.946 11.667 0.000 -1.893 11.667" Properties=species:S:1:pos:R:3 pbc="T T T"
Eu 0.000 0.000 3.182
Eu 0.000 0.000 31.818
Hf 0.000 0.000 0.000
Ag 0.000 0.000 17.500
```

Computed properties:
Total magnetic moment = 15.59 μB/f.u.
Energy of formation from the pure elements = 0.419 eV/atom



The following is a DFT calculation (PBE) of a relaxed EuAgHg2 crystal.

```
4
Lattice="3.770 0.000 0.000 0.000 3.770 0.000 0.000 0.000 7.005" Properties=species:S:1:pos:R:3 pbc="T T T"
Eu 0.000 0.000 0.000
Ag 0.000 0.000 3.503
Hg 1.885 1.885 1.959
Hg 1.885 1.885 5.046
```

Computed properties:
Total magnetic moment = 7.22 μB/f.u.
Energy of formation from the pure elements = -0.286 eV/atom



The following is a DFT calculation (PBE) of a relaxed EuAg4Hg crystal.

```
6
Lattice="0.000 4.018 4.018 4.018 0.000 4.018 4.018 4.018 0.000" Properties=species:S:1:pos:R:3 pbc="T T T"
Eu 0.000 0.000 0.000
Ag 5.020 3.016 3.016
Ag 3.016 5.020 3.016
Ag 3.016 3.016 5.020
Ag 5.020 5.020 5.020
Hg 2.009 2.009 2.009
```

Computed properties:
Total magnetic moment = 7.59 μB/f.u.
Energy of formation from the pure elements = -0.169 eV/atom



The following is a DFT calculation (PBE) of a relaxed EuAg2Hg crystal.

```
4
Lattice="3.742 0.000 0.000 0.000 3.742 0.000 0.000 0.000 6.881" Properties=species:S:1:pos:R:3 pbc="T T T"
Eu 0.000 0.000 0.000
Ag 1.871 1.871 1.933
Ag 1.871 1.871 4.947
Hg 0.000 0.000 3.440
```

Computed properties:
Total magnetic moment = 7.04 μB/f.u.
Energy of formation from the pure elements = -0.149 eV/atom



The following is a DFT calculation (PBE) of a relaxed EuAg2Hg crystal.

```
4
Lattice="4.649 0.000 0.000 0.000 4.649 0.000 0.000 0.000 4.529" Properties=species:S:1:pos:R:3 pbc="T T T"
Eu 0.000 0.000 0.000
Ag 0.000 2.325 2.265
Ag 2.325 0.000 2.265
Hg 2.325 2.325 0.000
```

Computed properties:
Total magnetic moment = 7.07 μB/f.u.
Energy of formation from the pure elements = -0.152 eV/atom



The following is a DFT calculation (PBE) of a relaxed EuAgHg2 crystal.

```
4
Lattice="4.683 0.000 0.000 0.000 4.683 0.000 0.000 0.000 4.716" Properties=species:S:1:pos:R:3 pbc="T T T"
Eu 0.000 0.000 0.000
Ag 2.342 2.342 0.000
Hg 0.000 2.342 2.358
Hg 2.342 0.000 2.358
```

Computed properties:
Total magnetic moment = 7.17 μB/f.u.
Energy of formation from the pure elements = -0.270 eV/atom



The following is a DFT calculation (PBE) of a relaxed EuAgHg4 crystal.

```
6
Lattice="0.000 4.239 4.239 4.239 0.000 4.239 4.239 4.239 0.000" Properties=species:S:1:pos:R:3 pbc="T T T"
Eu 0.000 0.000 0.000
Ag 6.358 6.358 6.358
Hg 3.181 3.181 3.181
Hg 5.296 5.296 3.181
Hg 5.296 3.181 5.296
Hg 3.181 5.296 5.296
```

Computed properties:
Total magnetic moment = 7.24 μB/f.u.
Energy of formation from the pure elements = -0.117 eV/atom



The following is a DFT calculation (PBE) of a relaxed EuAgHg2 crystal.

```
4
Lattice="0.000 3.668 3.668 3.668 0.000 3.668 3.668 3.668 0.000" Properties=species:S:1:pos:R:3 pbc="T T T"
Eu 0.000 0.000 0.000
Ag 3.668 3.668 3.668
Hg 1.834 1.834 1.834
Hg 5.502 5.502 5.502
```

Computed properties:
Total magnetic moment = 7.17 μB/f.u.
Energy of formation from the pure elements = -0.329 eV/atom